(1)
Compound: H2PdF8
Source: the Alexandria database
Functional: PBE
Structure: relaxed

Properties
* symmetry: C2/m (12)
* spin magnetization: 2.1 μB per cell

Cell and atoms, written as extended XYZ:
```
11
Lattice="4.667 -2.787 0.000 4.667 2.787 0.000 -0.071 0.000 5.117" Properties=species:S:1:pos:R:3 pbc="T T T"
H 1.153 0.000 2.278
H 8.110 0.000 2.839
Pd 4.667 0.000 0.000
F 1.185 0.000 3.228
F 3.491 1.343 4.354
F 5.771 1.343 0.763
F 3.590 0.000 1.559
F 5.673 0.000 3.558
F 3.491 -1.343 4.354
F 5.771 -1.343 0.763
F 8.077 0.000 1.889
```

=====

(2)
Compound: H2PdF8
Source: the Alexandria database
Functional: PBE
Structure: relaxed

Properties
* symmetry: P-1 (2)
* spin magnetization: 2.1 μB per cell

Cell and atoms, written as extended XYZ:
```
11
Lattice="4.715 0.000 0.000 0.286 5.314 0.000 0.299 0.852 5.582" Properties=species:S:1:pos:R:3 pbc="T T T"
H 1.294 0.644 2.040
H 4.006 5.522 3.542
Pd 2.500 2.657 0.000
F 1.524 5.052 2.379
F 1.360 2.116 1.449
F 1.735 5.056 5.326
F 1.707 2.546 4.378
F 3.593 3.621 1.204
F 3.565 1.111 0.256
F 3.940 4.050 4.133
F 3.776 1.115 3.203
```

=====

Relative energy table, unit kJ/mol of atoms: (1) 1.5; (2) 0.0

=====

(1)
Compound: Rb2HPdF6
Source: the Alexandria database
Functional: PBE
Structure: relaxed

Properties
* symmetry: I4mm (107)
* spin magnetization: 1.0 μB per cell

Cell and atoms, written as extended XYZ:
```
10
Lattice="-3.336 3.336 3.682 3.336 -3.336 3.682 3.336 3.336 -3.682" Properties=species:S:1:pos:R:3 pbc="T T T"
Rb 3.336 0.000 0.000
Rb 0.000 3.336 0.000
H 0.000 0.000 1.839
Pd 0.000 0.000 5.587
F 0.000 0.000 0.389
F 0.000 0.000 2.840
F 1.940 1.940 1.839
F 1.396 -1.396 5.521
F -1.396 1.396 5.521
F 1.396 1.396 5.521
```

=====

(2)
Compound: Rb2HPdF6
Source: the Alexandria database
Functional: PBE
Structure: relaxed

Properties
* symmetry: I4/mmm (139)
* spin magnetization: 0.0 μB per cell

Cell and atoms, written as extended XYZ:
```
10
Lattice="-2.737 2.737 4.875 2.737 -2.737 4.875 2.737 2.737 -4.875" Properties=species:S:1:pos:R:3 pbc="T T T"
Rb 2.737 0.000 2.437
Rb 0.000 2.737 2.437
H 0.000 0.000 0.000
Pd 0.000 0.000 4.875
F 1.235 1.235 0.000
F 1.502 -1.502 4.875
F 0.000 0.000 2.906
F 0.000 0.000 6.843
F -1.502 1.502 4.875
F 1.502 1.502 4.875
```

=====

Relative energy table, unit kJ/mol of atoms: (1) 0.0; (2) 27.4

=====

(1)
Compound: PmHF4
Source: the Alexandria database
Functional: PBE
Structure: relaxed

Properties
* symmetry: I4_1md (109)
* spin magnetization: 0.0 μB per cell

Cell and atoms, written as extended XYZ:
```
12
Lattice="-3.587 3.587 3.436 3.587 -3.587 3.436 3.587 3.587 -3.436" Properties=species:S:1:pos:R:3 pbc="T T T"
Pm 0.000 0.000 0.000
Pm 0.000 3.587 1.718
H 3.587 0.000 2.568
H 0.000 0.000 4.286
F 2.243 0.000 0.082
F 4.931 0.000 0.082
F 3.587 2.243 -1.636
F 3.587 -1.134 2.834
F 0.000 1.344 1.800
F 3.587 1.134 2.834
F 2.453 3.587 1.116
F 1.134 0.000 4.552
```

=====

(2)
Compound: PmHF4
Source: the Alexandria database
Functional: PBE
Structure: relaxed

Properties
* symmetry: Cmcm (63)
* spin magnetization: 0.0 μB per cell

Cell and atoms, written as extended XYZ:
```
12
Lattice="2.706 -8.053 0.000 2.706 8.053 0.000 0.000 0.000 4.083" Properties=species:S:1:pos:R:3 pbc="T T T"
Pm 2.706 5.149 3.062
Pm 2.706 -5.149 1.021
H 2.706 1.211 1.021
H 2.706 -1.211 3.062
F 1.258 3.226 3.062
F 1.557 1.253 1.021
F 1.557 -1.253 3.062
F 1.258 -3.226 1.021
F 4.155 3.226 3.062
F 3.855 1.253 1.021
F 3.855 -1.253 3.062
F 4.155 -3.226 1.021
```

=====

Relative energy table, unit kJ/mol of atoms: (1) 5.0; (2) 0.0